1.
# NiP2Pd2

A relaxed structure of NiP2Pd2 (GGA-PBE, the Alexandria database).

Space-group type: P4/mbm, No. 127
Density of states at the Fermi level in states/eV/f.u.: 2.1
Spin magnetization in μB/cell: 0.000
Electronic total energy in eV/f.u.: -28.88

Unit cell a=5.7900 b=5.7900 c=4.1996 alpha=90.00 beta=90.00 gamma=90.00
With the nearest neighbours (Å) after each atom.
Positions (direct):
1 P 0.6316 0.1316 0.0000  1 P 2.16, 2 Ni 2.26, 2 Pd 2.36
2 P 0.3684 0.8684 0.0000  1 P 2.16, 2 Ni 2.26, 2 Pd 2.36
3 P 0.8684 0.6316 0.0000  1 P 2.16, 2 Ni 2.26, 2 Pd 2.36
4 P 0.1316 0.3684 0.0000  1 P 2.16, 2 Ni 2.26, 2 Pd 2.36
5 Ni 0.5000 0.5000 0.0000  4 P 2.26
6 Ni 0.0000 0.0000 0.0000  4 P 2.26
7 Pd 0.2368 0.7368 0.5000  2 P 2.36
8 Pd 0.7632 0.2632 0.5000  2 P 2.36
9 Pd 0.2632 0.2368 0.5000  2 P 2.36
10 Pd 0.7368 0.7632 0.5000  2 P 2.36

***

2.
# Ni2PPd

A relaxed structure of Ni2PPd (GGA-PBE, the Alexandria database).

Space-group type: I-42d, No. 122
Density of states at the Fermi level in states/eV/f.u.: 1.5
Spin magnetization in μB/cell: 0.000
Electronic total energy in eV/f.u.: -23.09

Unit cell a=6.5705 b=6.5705 c=5.2371 alpha=51.15 beta=51.15 gamma=90.00
With the nearest neighbours (Å) after each atom.
Positions (direct):
1 Pd 0.7500 0.2500 0.5000  2 P 2.42, 4 Ni 2.66
2 Pd 0.0000 0.0000 0.0000  2 P 2.42, 4 Ni 2.66
3 Ni 0.5705 0.1250 0.2500  2 P 2.17
4 Ni 0.3750 0.4295 0.7500  2 P 2.17
5 Ni 0.1795 0.6250 0.2500  2 P 2.17
6 Ni 0.8750 0.8205 0.7500  2 P 2.17
7 P 0.5000 0.5000 0.0000  4 Ni 2.17, 2 Pd 2.42
8 P 0.2500 0.7500 0.5000  4 Ni 2.17, 2 Pd 2.42